{"formula": "Li2MgVO4", "functional": "GGA+U", "state": "relaxed", "total_energy_ev_per_cell": -50.7, "lattice_angstrom": [[5.097, 0.000, 0.000], [0.000, 3.000, 0.000], [-1.615, 0.000, 4.839]], "species": ["Li", "Li", "Mg", "V", "O", "O", "O", "O"], "fractional_positions": [[0.000, 0.000, 0.000], [0.500, 0.500, 0.000], [0.000, 0.500, 0.500], [0.500, 0.000, 0.500], [0.262, 0.000, 0.720], [0.268, 0.500, 0.270], [0.732, 0.500, 0.730], [0.738, 0.000, 0.280]]}